# 1
# PBE-GGA AcMgZn4In2, optimized geometry
data_AcMgZn4In2
_chemical_formula_sum 'Ac3 Mg3 Zn12 In6'
_cell_length_a 4.7091
_cell_length_b 4.7091
_cell_length_c 27.5733
_cell_angle_alpha 90.00
_cell_angle_beta 90.00
_cell_angle_gamma 120.00
_symmetry_space_group_name_H-M 'R -3 m'
_symmetry_Int_Tables_number 166
_symmetry_space_group_name_Hall '-R 3 2"'
loop_
_atom_site_label
_atom_site_fract_x
_atom_site_fract_y
_atom_site_fract_z
Ac1 0.0000 0.0000 0.0000
Mg1 0.0000 0.0000 0.5000
Zn1 0.0000 0.0000 0.1299
Zn2 0.0000 0.0000 0.3974
In1 0.0000 0.0000 0.2410
# **N(E_F)**: 0.5021 states/eV per atom
# **Energy**: -52.60 eV per cell
# **Density**: 6.986 g cm⁻³
# **Formation energy**: -0.157 eV per atom

=====

# 2
# PBE-GGA PmTm2Cd2, optimized geometry
data_PmTm2Cd2
_chemical_formula_sum 'Pm4 Tm8 Cd8'
_cell_length_a 4.937
_cell_length_b 4.937
_cell_length_c 24.721
_cell_angle_alpha 90.00
_cell_angle_beta 90.00
_cell_angle_gamma 90.00
_symmetry_space_group_name_H-M 'I 4/m m m'
_symmetry_Int_Tables_number 139
_symmetry_space_group_name_Hall '-I 4 2'
loop_
_atom_site_label
_atom_site_fract_x
_atom_site_fract_y
_atom_site_fract_z
Pm1 0.000 0.000 0.128
Tm1 0.000 0.000 0.429
Tm2 0.000 0.500 0.250
Cd1 0.000 0.000 0.317
Cd2 0.000 0.500 0.000
# **Energy above the lowest structure with this stoichiometry**: 5.748 kcal/mol of atoms
# **N(E_F)**: 0.8460 states/eV per atom
# **Energy**: -62.06 eV per cell
# **Density**: 7.802 g cm⁻³
# **Formation energy**: 0.002 eV per atom

=====

# 3
# PBE-GGA Mg3Cd4In2, optimized geometry
data_Mg3Cd4In2
_chemical_formula_sum 'Mg12 Cd16 In8'
_cell_length_a 14.226
_cell_length_b 10.853
_cell_length_c 5.584
_cell_angle_alpha 90.00
_cell_angle_beta 105.05
_cell_angle_gamma 90.00
_symmetry_space_group_name_H-M 'C 1 2/c 1'
_symmetry_Int_Tables_number 15
_symmetry_space_group_name_Hall '-C 2yc'
loop_
_atom_site_label
_atom_site_fract_x
_atom_site_fract_y
_atom_site_fract_z
Mg1 0.000 0.126 0.250
Mg2 0.166 0.371 0.081
Cd1 0.054 0.377 0.527
Cd2 0.109 0.127 0.800
In1 0.224 0.121 0.359
# **Energy above the lowest structure with this stoichiometry**: 0.000 kcal/mol of atoms
# **N(E_F)**: 0.3643 states/eV per atom
# **Energy**: -57.38 eV per cell
# **Density**: 6.001 g cm⁻³
# **Formation energy**: -0.047 eV per atom